SrTlAg2 | PBE | optimized geometry

Cell: 4.2008 4.6811 5.9220 Å, 90.00 109.61 90.00°
Closest atoms and distances in Å follow each position.
Space group Pm (No. 6)
Asymmetric unit:
Sr: 0.0000 0.0000 0.0000  7 Ag 3.08-3.29
Tl: 0.7104 0.5000 0.4013  7 Ag 3.16-3.27
Ag: 0.2886 0.0000 0.5521  2 Ag 2.80, 1 Sr 3.08
Ag: 0.4184 0.5000 0.8289  2 Ag 2.80

energy of formation = -3.167 kcal/mol of atoms